[1]
First-principles (PBE) data for a geometry-optimized KBaPt2 structure, as listed in the Alexandria database.

a = 7.397 Å, b = 5.137 Å, c = 4.174 Å
α = 90.03°, β = 55.60°, γ = 119.37°
Positions (direct):
Ba 0.000 0.500 0.500
K 0.500 0.500 0.000
Pt 0.000 0.000 0.000
Pt 0.500 0.000 0.500

DFT total energy = -3.95 eV per atom
Crystal system = orthorhombic

---

[2]
First-principles (PBE) data for a geometry-optimized KBa2Pt structure, as listed in the Alexandria database.

a = 7.055 Å, b = 7.055 Å, c = 7.055 Å
α = 138.58°, β = 138.58°, γ = 60.01°
Positions (direct):
Ba 0.000 0.000 0.000
Ba 0.250 0.750 0.500
K 0.500 0.500 0.000
Pt 0.750 0.250 0.500

Relative energy among the computed polymorphs = 2.06 eV/f.u.
Crystal system = tetragonal

---

[3]
First-principles (PBE) data for a geometry-optimized K2BaPt structure, as listed in the Alexandria database.

a = 4.872 Å, b = 4.872 Å, c = 6.273 Å
α = 90.00°, β = 90.00°, γ = 90.03°
Positions (direct):
Ba 0.000 0.500 0.500
K 0.000 0.000 0.000
K 0.500 0.500 0.000
Pt 0.500 0.000 0.500

DFT total energy = -2.56 eV per atom
Crystal system = tetragonal

---

[4]
First-principles (PBE) data for a geometry-optimized KBaPt2 structure, as listed in the Alexandria database.

a = 5.573 Å, b = 5.573 Å, c = 5.573 Å
α = 127.65°, β = 127.65°, γ = 77.20°
Positions (direct):
Ba 0.250 0.750 0.500
K 0.750 0.250 0.500
Pt 0.000 0.000 0.000
Pt 0.500 0.500 0.000

DFT total energy = -3.89 eV per atom
Crystal system = tetragonal

---

[5]
First-principles (PBE) data for a geometry-optimized KBa2Pt structure, as listed in the Alexandria database.

a = 7.900 Å, b = 7.900 Å, c = 7.821 Å
α = 53.33°, β = 53.33°, γ = 31.94°
Positions (direct):
Ba 0.906 0.906 0.120
Ba 0.744 0.744 0.836
K 0.563 0.563 0.494
Pt 0.287 0.287 0.050

Relative energy among the computed polymorphs = 0.81 eV/f.u.
Crystal system = monoclinic

---

[6]
First-principles (PBE) data for a geometry-optimized KBaPt2 structure, as listed in the Alexandria database.

a = 5.592 Å, b = 5.592 Å, c = 5.592 Å
α = 129.46°, β = 129.46°, γ = 74.27°
Positions (direct):
Ba 0.500 0.500 0.000
K 0.750 0.250 0.500
Pt 0.000 0.000 0.000
Pt 0.250 0.750 0.500

DFT total energy = -3.84 eV per atom
Crystal system = tetragonal

---

no.,size of the total moment (μB/atom)
1,0.0000
2,0.0001
3,0.0000
4,0.0000
5,0.0000
6,0.0000